Entry from the Alexandria database: an optimized crystal structure of BiAs2N (PBE).

a b c (Å): 6.7471 6.7471 6.7471
angles (deg): 90.00 90.00 90.00
Space group Fm-3m (No. 225)
Asymmetric unit:
Bi: 0.0000 0.0000 0.0000 [4 per cell]
As: 0.2500 0.2500 0.2500 [8 per cell]
N: 0.0000 0.0000 0.5000 [4 per cell]

- ΔE_f (raw): 5.527 eV per formula unit
- Energy above the lowest structure with this stoichiometry: 0.732 eV/atom

---

Entry from the Alexandria database: an optimized crystal structure of BiAs3N (PBE).

a b c (Å): 5.4412 5.4412 5.4412
angles (deg): 90.00 90.00 90.00
Space group Pm-3m (No. 221)
Asymmetric unit:
Bi: 0.0000 0.0000 0.0000 [1 per cell]
As: 0.0000 0.0000 0.5000 [3 per cell]
N: 0.5000 0.5000 0.5000 [1 per cell]

- ΔE_f (raw): 12.086 eV per formula unit
- Energy above the lowest structure with this stoichiometry: 1.750 eV/atom

---

Entry from the Alexandria database: an optimized crystal structure of BiAsN (PBE).

a b c (Å): 6.0716 6.0711 10.8222
angles (deg): 90.00 97.57 90.00
Space group C2/m (No. 12)
Asymmetric unit:
Bi: 0.2241 0.0000 0.3870 [4 per cell]
As: 0.2164 0.5000 0.3553 [4 per cell]
N: 0.0665 0.0000 0.0407 [4 per cell]

- ΔE_f (raw): 0.183 eV per formula unit
- Energy above the lowest structure with this stoichiometry: 0.006 eV/atom

---

Entry from the Alexandria database: an optimized crystal structure of NiBiAs2N (PBE).

a b c (Å): 4.2949 4.2949 4.8090
angles (deg): 90.00 90.00 90.00
Space group P4/mmm (No. 123)
Asymmetric unit:
Ni: 0.0000 0.0000 0.0000 [1 per cell]
Bi: 0.5000 0.5000 0.0000 [1 per cell]
As: 0.0000 0.5000 0.5000 [2 per cell]
N: 0.5000 0.5000 0.5000 [1 per cell]

- ΔE_f (raw): 4.045 eV per formula unit